# 1
Here is Hf2PRu after structural relaxation from Alexandria. Energies are from PBE-GGA.

CIF file:
```
data_Hf2PRu
_cell_length_a 5.884
_cell_length_b 5.884
_cell_length_c 11.696
_cell_angle_alpha 90.00
_cell_angle_beta 90.00
_cell_angle_gamma 90.00
_symmetry_space_group_name_H-M 'P 1'
_symmetry_Int_Tables_number 1
loop_
_symmetry_equiv_pos_as_xyz
'x,y,z'
loop_
_atom_site_label
_atom_site_type_symbol
_atom_site_fract_x
_atom_site_fract_y
_atom_site_fract_z
Hf1 Hf 0.245 0.250 0.125
Hf2 Hf 0.250 0.745 0.375
Hf3 Hf 0.250 0.755 0.875
Hf4 Hf 0.255 0.250 0.625
Hf5 Hf 0.745 0.750 0.625
Hf6 Hf 0.750 0.245 0.875
Hf7 Hf 0.750 0.255 0.375
Hf8 Hf 0.755 0.750 0.125
P1 P 0.000 0.000 0.500
P2 P 0.000 0.500 0.750
P3 P 0.500 0.000 0.250
P4 P 0.500 0.500 0.000
Ru1 Ru 0.000 0.000 0.000
Ru2 Ru 0.000 0.500 0.250
Ru3 Ru 0.500 0.000 0.750
Ru4 Ru 0.500 0.500 0.500
```

Values from the calculation:
calculated volume: 25.3 Å³/atom
N(E_F): 0.683 states/eV per atom
total DFT energy (no corrections): -0.626 Ry per atom
energy of formation: 0.5 eV/f.u.
M_tot: 0.00 μB/f.u.

---

# 2
Here is TbThNi2 after structural relaxation from Alexandria. Energies are from PBE-GGA.

CIF file:
```
data_TbThNi2
_cell_length_a 3.959
_cell_length_b 3.959
_cell_length_c 19.703
_cell_angle_alpha 90.00
_cell_angle_beta 90.00
_cell_angle_gamma 120.00
_symmetry_space_group_name_H-M 'P 1'
_symmetry_Int_Tables_number 1
loop_
_symmetry_equiv_pos_as_xyz
'x,y,z'
loop_
_atom_site_label
_atom_site_type_symbol
_atom_site_fract_x
_atom_site_fract_y
_atom_site_fract_z
Tb1 Tb 0.000 0.000 0.000
Tb2 Tb 0.333 0.667 0.667
Tb3 Tb 0.667 0.333 0.333
Th1 Th 0.000 0.000 0.500
Th2 Th 0.333 0.667 0.167
Th3 Th 0.667 0.333 0.833
Ni1 Ni 0.000 0.000 0.249
Ni2 Ni 0.000 0.000 0.751
Ni3 Ni 0.333 0.667 0.418
Ni4 Ni 0.333 0.667 0.915
Ni5 Ni 0.667 0.333 0.085
Ni6 Ni 0.667 0.333 0.582
```

Values from the calculation:
calculated volume: 22.3 Å³/atom
N(E_F): 0.490 states/eV per atom
total DFT energy (no corrections): -0.457 Ry per atom
energy of formation: -1.2 eV/f.u.
M_tot: 0.00 μB/f.u.

---

# 3
Here is TaCo2Ag after structural relaxation from Alexandria. Energies are from PBE-GGA.

CIF file:
```
data_TaCo2Ag
_cell_length_a 8.435
_cell_length_b 2.921
_cell_length_c 4.875
_cell_angle_alpha 90.00
_cell_angle_beta 103.62
_cell_angle_gamma 90.00
_symmetry_space_group_name_H-M 'P 1'
_symmetry_Int_Tables_number 1
loop_
_symmetry_equiv_pos_as_xyz
'x,y,z'
loop_
_atom_site_label
_atom_site_type_symbol
_atom_site_fract_x
_atom_site_fract_y
_atom_site_fract_z
Ta1 Ta 0.000 0.000 0.000
Ta2 Ta 0.500 0.500 0.000
Co1 Co 0.241 0.500 0.218
Co2 Co 0.259 0.000 0.782
Co3 Co 0.741 0.000 0.218
Co4 Co 0.759 0.500 0.782
Ag1 Ag 0.000 0.500 0.500
Ag2 Ag 0.500 0.000 0.500
```

Values from the calculation:
calculated volume: 14.6 Å³/atom
N(E_F): 0.767 states/eV per atom
total DFT energy (no corrections): -0.510 Ry per atom
energy of formation: 1.1 eV/f.u.
M_tot: 1.52 μB/f.u.

---

# 4
Here is Hf5HgC after structural relaxation from Alexandria. Energies are from PBE-GGA.

CIF file:
```
data_Hf5HgC
_cell_length_a 5.949
_cell_length_b 5.949
_cell_length_c 9.614
_cell_angle_alpha 107.60
_cell_angle_beta 107.60
_cell_angle_gamma 61.04
_symmetry_space_group_name_H-M 'P 1'
_symmetry_Int_Tables_number 1
loop_
_symmetry_equiv_pos_as_xyz
'x,y,z'
loop_
_atom_site_label
_atom_site_type_symbol
_atom_site_fract_x
_atom_site_fract_y
_atom_site_fract_z
Hf1 Hf 0.019 0.380 0.627
Hf2 Hf 0.034 0.966 0.750
Hf3 Hf 0.190 0.570 0.962
Hf4 Hf 0.380 0.019 0.127
Hf5 Hf 0.430 0.810 0.538
Hf6 Hf 0.570 0.190 0.462
Hf7 Hf 0.620 0.981 0.873
Hf8 Hf 0.810 0.430 0.038
Hf9 Hf 0.966 0.034 0.250
Hf10 Hf 0.981 0.620 0.373
Hg1 Hg 0.486 0.514 0.250
Hg2 Hg 0.514 0.486 0.750
C1 C 0.000 0.000 0.000
C2 C 0.000 0.000 0.500
```

Values from the calculation:
calculated volume: 19.9 Å³/atom
N(E_F): 0.844 states/eV per atom
total DFT energy (no corrections): -0.631 Ry per atom
energy of formation: -0.8 eV/f.u.
M_tot: 0.00 μB/f.u.

---

# 5
Here is Sn2BiSe3 after structural relaxation from Alexandria. Energies are from PBE-GGA.

CIF file:
```
data_Sn2BiSe3
_cell_length_a 8.754
_cell_length_b 8.754
_cell_length_c 10.586
_cell_angle_alpha 112.66
_cell_angle_beta 112.66
_cell_angle_gamma 27.19
_symmetry_space_group_name_H-M 'P 1'
_symmetry_Int_Tables_number 1
loop_
_symmetry_equiv_pos_as_xyz
'x,y,z'
loop_
_atom_site_label
_atom_site_type_symbol
_atom_site_fract_x
_atom_site_fract_y
_atom_site_fract_z
Sn1 Sn 0.167 0.167 0.330
Sn2 Sn 0.333 0.333 0.169
Sn3 Sn 0.667 0.667 0.831
Sn4 Sn 0.833 0.833 0.670
Bi1 Bi 0.000 0.000 0.500
Bi2 Bi 0.500 0.500 0.000
Se1 Se 0.027 0.027 0.806
Se2 Se 0.307 0.307 0.857
Se3 Se 0.364 0.364 0.471
Se4 Se 0.636 0.636 0.529
Se5 Se 0.693 0.693 0.143
Se6 Se 0.973 0.973 0.194
```

Values from the calculation:
calculated volume: 28.4 Å³/atom
formation energy (no corrections): -0.292 eV per atom
N(E_F): 0.295 states/eV per atom
total DFT energy (no corrections): -0.295 Ry per atom
M_tot: 0.00 μB/f.u.

---

# 6
Here is AcCuPd4 after structural relaxation from Alexandria. Energies are from PBE-GGA.

CIF file:
```
data_AcCuPd4
_cell_length_a 7.643
_cell_length_b 4.152
_cell_length_c 7.054
_cell_angle_alpha 90.00
_cell_angle_beta 90.00
_cell_angle_gamma 90.00
_symmetry_space_group_name_H-M 'P 1'
_symmetry_Int_Tables_number 1
loop_
_symmetry_equiv_pos_as_xyz
'x,y,z'
loop_
_atom_site_label
_atom_site_type_symbol
_atom_site_fract_x
_atom_site_fract_y
_atom_site_fract_z
Ac1 Ac 0.250 0.000 0.144
Ac2 Ac 0.750 0.000 0.856
Cu1 Cu 0.250 0.000 0.724
Cu2 Cu 0.750 0.000 0.276
Pd1 Pd 0.000 0.000 0.500
Pd2 Pd 0.056 0.500 0.805
Pd3 Pd 0.250 0.500 0.466
Pd4 Pd 0.444 0.500 0.805
Pd5 Pd 0.500 0.000 0.500
Pd6 Pd 0.556 0.500 0.195
Pd7 Pd 0.750 0.500 0.534
Pd8 Pd 0.944 0.500 0.195
```

Values from the calculation:
calculated volume: 18.7 Å³/atom
N(E_F): 0.401 states/eV per atom
total DFT energy (no corrections): -0.390 Ry per atom
energy of formation: -2.8 eV/f.u.
M_tot: 0.00 μB/f.u.

---

# 7
Here is BP3RhC after structural relaxation from Alexandria. Energies are from PBE-GGA.

CIF file:
```
data_BP3RhC
_cell_length_a 5.244
_cell_length_b 3.065
_cell_length_c 5.666
_cell_angle_alpha 90.00
_cell_angle_beta 102.55
_cell_angle_gamma 90.00
_symmetry_space_group_name_H-M 'P 1'
_symmetry_Int_Tables_number 1
loop_
_symmetry_equiv_pos_as_xyz
'x,y,z'
loop_
_atom_site_label
_atom_site_type_symbol
_atom_site_fract_x
_atom_site_fract_y
_atom_site_fract_z
B1 B 0.000 0.000 0.000
P1 P 0.273 0.000 0.637
P2 P 0.465 0.500 0.148
P3 P 0.797 0.500 0.963
Rh1 Rh 0.579 0.500 0.565
C1 C 0.295 0.000 0.988
```

Values from the calculation:
calculated volume: 14.8 Å³/atom
N(E_F): 0.312 states/eV per atom
total DFT energy (no corrections): -0.482 Ry per atom
energy of formation: 0.2 eV/f.u.
M_tot: 0.00 μB/f.u.

---

# 8
Here is AlCu6Ni after structural relaxation from Alexandria. Energies are from PBE-GGA.

CIF file:
```
data_AlCu6Ni
_cell_length_a 4.641
_cell_length_b 4.641
_cell_length_c 4.641
_cell_angle_alpha 94.08
_cell_angle_beta 94.08
_cell_angle_gamma 94.08
_symmetry_space_group_name_H-M 'P 1'
_symmetry_Int_Tables_number 1
loop_
_symmetry_equiv_pos_as_xyz
'x,y,z'
loop_
_atom_site_label
_atom_site_type_symbol
_atom_site_fract_x
_atom_site_fract_y
_atom_site_fract_z
Al1 Al 0.000 0.000 0.000
Cu1 Cu 0.031 0.748 0.467
Cu2 Cu 0.252 0.533 0.969
Cu3 Cu 0.467 0.031 0.748
Cu4 Cu 0.533 0.969 0.252
Cu5 Cu 0.748 0.467 0.031
Cu6 Cu 0.969 0.252 0.533
Ni1 Ni 0.500 0.500 0.500
```

Values from the calculation:
calculated volume: 12.4 Å³/atom
N(E_F): 0.456 states/eV per atom
total DFT energy (no corrections): -0.313 Ry per atom
energy of formation: 0.1 eV/f.u.
M_tot: 0.00 μB/f.u.

---

# 9
Here is MgMn3Re after structural relaxation from Alexandria. Energies are from PBE-GGA.

CIF file:
```
data_MgMn3Re
_cell_length_a 4.662
_cell_length_b 4.662
_cell_length_c 4.662
_cell_angle_alpha 90.00
_cell_angle_beta 90.00
_cell_angle_gamma 90.00
_symmetry_space_group_name_H-M 'P 1'
_symmetry_Int_Tables_number 1
loop_
_symmetry_equiv_pos_as_xyz
'x,y,z'
loop_
_atom_site_label
_atom_site_type_symbol
_atom_site_fract_x
_atom_site_fract_y
_atom_site_fract_z
Mg1 Mg 0.000 0.000 0.000
Mn1 Mn 0.000 0.500 0.500
Mn2 Mn 0.500 0.000 0.500
Mn3 Mn 0.500 0.500 0.000
Re1 Re 0.500 0.500 0.500
```

Values from the calculation:
calculated volume: 20.3 Å³/atom
N(E_F): 1.602 states/eV per atom
total DFT energy (no corrections): -0.531 Ry per atom
energy of formation: 5.4 eV/f.u.
M_tot: 8.81 μB/f.u.

---

# 10
Here is LiPaRh2 after structural relaxation from Alexandria. Energies are from PBE-GGA.

CIF file:
```
data_LiPaRh2
_cell_length_a 6.520
_cell_length_b 6.520
_cell_length_c 6.520
_cell_angle_alpha 90.00
_cell_angle_beta 90.00
_cell_angle_gamma 90.00
_symmetry_space_group_name_H-M 'P 1'
_symmetry_Int_Tables_number 1
loop_
_symmetry_equiv_pos_as_xyz
'x,y,z'
loop_
_atom_site_label
_atom_site_type_symbol
_atom_site_fract_x
_atom_site_fract_y
_atom_site_fract_z
Li1 Li 0.000 0.000 0.000
Li2 Li 0.000 0.500 0.500
Li3 Li 0.500 0.000 0.500
Li4 Li 0.500 0.500 0.000
Pa1 Pa 0.000 0.000 0.500
Pa2 Pa 0.000 0.500 0.000
Pa3 Pa 0.500 0.000 0.000
Pa4 Pa 0.500 0.500 0.500
Rh1 Rh 0.250 0.250 0.250
Rh2 Rh 0.250 0.250 0.750
Rh3 Rh 0.250 0.750 0.250
Rh4 Rh 0.250 0.750 0.750
Rh5 Rh 0.750 0.250 0.250
Rh6 Rh 0.750 0.250 0.750
Rh7 Rh 0.750 0.750 0.250
Rh8 Rh 0.750 0.750 0.750
```

Values from the calculation:
calculated volume: 17.3 Å³/atom
N(E_F): 0.950 states/eV per atom
total DFT energy (no corrections): -0.523 Ry per atom
energy of formation: -2.3 eV/f.u.
M_tot: 0.00 μB/f.u.